# KTmCu2I6 PBE optimized geometry
data_KTmCu2I6
_chemical_formula_sum 'K2 Tm2 Cu4 I12'
_cell_length_a 7.734
_cell_length_b 10.003
_cell_length_c 10.003
_cell_angle_alpha 90.03
_cell_angle_beta 84.77
_cell_angle_gamma 84.77
_symmetry_space_group_name_H-M 'P 1'
_symmetry_Int_Tables_number 1
loop_
_symmetry_equiv_pos_as_xyz
'x,y,z'
loop_
_atom_site_label
_atom_site_type_symbol
_atom_site_fract_x
_atom_site_fract_y
_atom_site_fract_z
I1 I 0.599 0.158 0.607
I2 I 0.623 0.445 0.285
I3 I 0.123 0.285 0.445
I4 I 0.877 0.715 0.555
I5 I 0.346 0.251 0.014
I6 I 0.846 0.014 0.251
I7 I 0.901 0.393 0.842
I8 I 0.654 0.749 0.986
I9 I 0.154 0.986 0.749
I10 I 0.401 0.842 0.393
I11 I 0.377 0.555 0.715
I12 I 0.099 0.607 0.158
Tm1 Tm 0.750 0.730 0.270
Tm2 Tm 0.250 0.270 0.730
Cu1 Cu 0.293 0.425 0.268
Cu2 Cu 0.707 0.575 0.732
Cu3 Cu 0.793 0.268 0.425
Cu4 Cu 0.207 0.732 0.575
K1 K 0.750 0.081 0.919
K2 K 0.250 0.919 0.081
# ΔE_f (raw), eV per formula unit: -8.5
# D(E_F), states/eV/f.u.: 0.0